The following is a GGA-PBE calculation of a relaxed Nd2Y3Bi2 crystal, from Alexandria.

Cell: 12.477 4.368 8.828 Å, 90.00 109.69 90.00°
Space group C2/m (No. 12)
One atom of each set of equivalent atoms:
1 Nd 0.131 0.000 0.287 [4 per cell]
2 Y 0.000 0.500 0.500 [2 per cell]
3 Y 0.124 0.500 0.948 [4 per cell]
4 Bi 0.170 0.000 0.701 [4 per cell]

Calculated values
Raw total energy (eV/atom): -5.7478
ΔH_f (0 K) (eV per atom): -0.506